An optimized crystal structure of Dy3SeS2. Source: Alexandria via LeMat-Bulk, functional PBE.

Computed properties:
Formation energy from raw total energies (eV per atom): -1.901
Symmetry: Immm
Energy (eV per atom): -6.159
Density (g/cm3): 7.9
Relative energy among the computed polymorphs (meV per atom): 0
Crystal system: orthorhombic

a b c (Å): 3.967 5.598 6.863
angles (deg): 114.07 106.80 90.00
Fractional positions:
Dy1 0.822 0.322 0.144
Dy2 0.178 0.678 0.856
Dy3 0.500 0.000 0.500
Se1 0.500 0.500 0.500
S1 0.837 0.837 0.174
S2 0.163 0.163 0.826